(1)
Th4SbAs2P | PBE | relaxed

Cell: 4.2725 7.4246 7.4758 Å, 70.73 90.00 90.00°
Sites, in units of the cell vectors:
1 Th 0.0000 0.7476 0.7671
2 Th 0.0000 0.2524 0.2329
3 Th 0.5000 0.7603 0.2289
4 Th 0.5000 0.2397 0.7711
5 Sb 0.0000 0.5000 0.5000
6 As 0.0000 0.0000 0.0000
7 As 0.5000 0.0000 0.5000
8 P 0.5000 0.5000 0.0000

Summary:
DFT total energy = -7.34 eV per atom


(2)
Th4Sb2AsP | PBE | relaxed

Cell: 4.3108 7.5004 7.6272 Å, 109.00 90.00 90.00°
Sites, in units of the cell vectors:
1 Th 0.5000 0.2475 0.2215
2 Th 0.5000 0.7525 0.7785
3 Th 0.0000 0.2674 0.7822
4 Th 0.0000 0.7326 0.2178
5 Sb 0.5000 0.0000 0.5000
6 Sb 0.0000 0.5000 0.5000
7 As 0.0000 0.0000 0.0000
8 P 0.5000 0.5000 0.0000

Summary:
DFT total energy = -7.19 eV per atom


(3)
TiSbAs2P | PBE | relaxed

Cell: 5.2052 5.1425 5.2052 Å, 90.00 90.00 90.00°
Sites, in units of the cell vectors:
1 Sb 0.0000 0.0000 0.0000
2 As 0.0000 0.0000 0.5000
3 As 0.5000 0.0000 0.0000
4 P 0.5000 0.5000 0.5000
5 Ti 0.0000 0.5000 0.0000

Summary:
DFT total energy = -4.06 eV per atom


(4)
Tm4SbAs2P | PBE | relaxed

Cell: 4.0961 7.1045 7.1340 Å, 70.66 90.00 90.00°
Sites, in units of the cell vectors:
1 Tm 0.0000 0.7586 0.7356
2 Tm 0.0000 0.2414 0.2644
3 Tm 0.5000 0.7505 0.2605
4 Tm 0.5000 0.2495 0.7395
5 Sb 0.5000 0.5000 0.0000
6 As 0.0000 0.0000 0.0000
7 As 0.5000 0.0000 0.5000
8 P 0.0000 0.5000 0.5000

Summary:
DFT total energy = -5.97 eV per atom


(5)
Tm6SbAs3P2 | PBE | relaxed

Cell: 4.0606 8.1692 9.0938 Å, 102.71 102.90 90.00°
Sites, in units of the cell vectors:
1 Tm 0.3268 0.9065 0.6535
2 Tm 0.6697 0.5796 0.3395
3 Tm 0.6732 0.0935 0.3465
4 Tm 0.0037 0.2655 0.0073
5 Tm 0.9963 0.7345 0.9927
6 Tm 0.3303 0.4204 0.6605
7 Sb 0.5000 0.0000 0.0000
8 As 0.5000 0.5000 0.0000
9 As 0.8356 0.1683 0.6713
10 As 0.1644 0.8317 0.3287
11 P 0.8321 0.6642 0.6641
12 P 0.1679 0.3358 0.3359

Summary:
DFT total energy = -6.08 eV per atom


(6)
Y6SbAs3P2 | PBE | relaxed

Cell: 4.1249 8.2917 9.2347 Å, 102.73 102.91 90.00°
Sites, in units of the cell vectors:
1 Y 0.3272 0.9071 0.6543
2 Y 0.6695 0.5796 0.3391
3 Y 0.6728 0.0929 0.3457
4 Y 0.0034 0.2648 0.0068
5 Y 0.9966 0.7352 0.9932
6 Y 0.3305 0.4204 0.6609
7 Sb 0.5000 0.0000 0.0000
8 As 0.5000 0.5000 0.0000
9 As 0.8354 0.1682 0.6707
10 As 0.1646 0.8318 0.3293
11 P 0.8320 0.6643 0.6640
12 P 0.1680 0.3357 0.3360

Summary:
DFT total energy = -7.13 eV per atom


(7)
Y4SbAs2P | PBE | relaxed

Cell: 4.1581 7.2111 7.2389 Å, 70.64 90.00 90.00°
Sites, in units of the cell vectors:
1 Y 0.0000 0.7584 0.7362
2 Y 0.0000 0.2416 0.2638
3 Y 0.5000 0.7505 0.2602
4 Y 0.5000 0.2495 0.7398
5 Sb 0.5000 0.5000 0.0000
6 As 0.0000 0.0000 0.0000
7 As 0.5000 0.0000 0.5000
8 P 0.0000 0.5000 0.5000

Summary:
DFT total energy = -7.02 eV per atom


(8)
Y6SbAs2P3 | PBE | relaxed

Cell: 4.0980 8.2589 9.2075 Å, 103.17 102.86 90.00°
Sites, in units of the cell vectors:
1 Y 0.3266 0.9173 0.6532
2 Y 0.6663 0.5870 0.3327
3 Y 0.6734 0.0827 0.3468
4 Y 0.9986 0.2670 0.9972
5 Y 0.0014 0.7330 0.0028
6 Y 0.3337 0.4130 0.6673
7 Sb 0.5000 0.0000 0.0000
8 As 0.8331 0.6660 0.6662
9 As 0.1669 0.3340 0.3338
10 P 0.5000 0.5000 0.0000
11 P 0.8340 0.1680 0.6680
12 P 0.1660 0.8320 0.3320

Summary:
DFT total energy = -7.21 eV per atom


(9)
Sc2AsP | PBE | relaxed

Cell: 6.9212 6.9212 6.9212 Å, 150.70 150.01 42.42°
Sites, in units of the cell vectors:
1 Sc 0.9519 0.9519 0.0000
2 Sc 0.2107 0.7107 0.5000
3 As 0.5446 0.5446 0.0000
4 P 0.7928 0.2928 0.5000

Summary:
Formation energy = -4.50 eV/f.u.


(10)
Sc2AsP2 | PBE | relaxed

Cell: 7.1158 7.1158 3.5630 Å, 90.00 90.00 90.00°
Sites, in units of the cell vectors:
1 Sc 0.1575 0.6575 0.5000
2 Sc 0.6575 0.8425 0.5000
3 Sc 0.8425 0.3425 0.5000
4 Sc 0.3425 0.1575 0.5000
5 P 0.3521 0.8521 0.0000
6 P 0.8521 0.6479 0.0000
7 P 0.6479 0.1479 0.0000
8 P 0.1479 0.3521 0.0000
9 As 0.0000 0.0000 0.0000
10 As 0.5000 0.5000 0.0000

Summary:
Energy above the lowest structure with this stoichiometry = 168 meV/atom
Formation energy = -4.14 eV/f.u.


(11)
ScAs3P | PBE | relaxed

Cell: 5.0508 5.0508 5.0508 Å, 90.00 90.00 90.00°
Sites, in units of the cell vectors:
1 Sc 0.0000 0.0000 0.0000
2 P 0.5000 0.5000 0.5000
3 As 0.0000 0.5000 0.0000
4 As 0.0000 0.0000 0.5000
5 As 0.5000 0.0000 0.0000

Summary:
Energy above the lowest structure with this stoichiometry = 477 meV/atom
Formation energy = 3.54 eV/f.u.


(12)
Sc2AsP | PBE | relaxed

Cell: 8.5857 8.5857 8.5857 Å, 22.55 22.55 22.55°
Each line ends with the local moment (μB).
Sites, in units of the cell vectors:
1 Sc 0.9873 0.9873 0.9873  0.22
2 Sc 0.7580 0.7580 0.7580  0.24
3 As 0.5121 0.5121 0.5121  -0.01
4 P 0.2425 0.2425 0.2425  -0.01

Summary:
Formation energy = -0.62 eV/f.u.